Here is Ho2Er3Cu2 after structural relaxation from the Alexandria database. Energies are from PBE.

Its volume is 25.3 A^3/atom. The total DFT energy (no corrections) is -63.9 eV for the cell shown.

The structure belongs to space group C2/m (No. 12); the cell edges are 12.385, 3.581 and 8.944 Å and the angles 90.00°, 116.92° and 90.00°. The asymmetric unit holds Ho at (0.155, 0.000, 0.313), Er at (0.000, 0.500, 0.500), Er at (0.114, 0.500, 0.943) and Cu at (0.171, 0.000, 0.730).